# 1
{"formula": "MoAu2Se", "functional": "GGA-PBE", "state": "optimized geometry", "e_form_raw_mev_per_atom": 311, "lattice": [[2.750, 0.000, 0.000], [0.000, 4.509, 0.000], [-1.342, 0.000, 5.823]], "species": ["Mo", "Au", "Au", "Se"], "fractional_positions": [[0.000, 0.000, 0.000], [0.371, 0.500, 0.738], [0.751, 0.000, 0.501], [0.101, 0.500, 0.202]]}



# 2
{"formula": "MoAu2Se", "functional": "GGA-PBE", "state": "optimized geometry", "e_form_raw_mev_per_atom": 495, "lattice": [[-1.921, 1.921, 5.102], [1.921, -1.921, 5.102], [1.921, 1.921, -5.102]], "species": ["Mo", "Au", "Au", "Se"], "fractional_positions": [[0.000, 0.000, 0.000], [0.250, 0.750, 0.500], [0.750, 0.250, 0.500], [0.500, 0.500, 0.000]]}



# 3
{"formula": "Mo2AuSe", "functional": "GGA-PBE", "state": "optimized geometry", "e_form_raw_mev_per_atom": 316, "lattice": [[4.626, -1.573, 0.000], [4.626, 1.573, 0.000], [-0.773, 0.000, 4.883]], "species": ["Mo", "Mo", "Au", "Se"], "fractional_positions": [[0.000, 0.000, 0.000], [0.719, 0.719, 0.168], [0.254, 0.254, 0.711], [0.473, 0.473, 0.393]]}



# 4
{"formula": "MoAuSe", "functional": "GGA-PBE", "state": "optimized geometry", "e_form_raw_mev_per_atom": 608, "polymorph_energy_mev_per_atom": 597.8, "lattice": [[0.000, 3.050, 3.050], [3.050, 0.000, 3.050], [3.050, 3.050, 0.000]], "species": ["Mo", "Au", "Se"], "fractional_positions": [[0.000, 0.000, 0.000], [0.500, 0.500, 0.500], [0.750, 0.750, 0.750]]}



# 5
{"formula": "Mo4AuSe", "functional": "GGA-PBE", "state": "optimized geometry", "e_form_raw_mev_per_atom": 615, "lattice": [[0.000, 3.743, 3.743], [3.743, 0.000, 3.743], [3.743, 3.743, 0.000]], "species": ["Mo", "Mo", "Mo", "Mo", "Au", "Se"], "fractional_positions": [[0.377, 0.377, 0.377], [0.377, 0.377, 0.870], [0.377, 0.870, 0.377], [0.870, 0.377, 0.377], [0.750, 0.750, 0.750], [0.000, 0.000, 0.000]]}



# 6
{"formula": "Mo2AuSe", "functional": "GGA-PBE", "state": "optimized geometry", "e_form_raw_mev_per_atom": 629, "lattice": [[-1.926, 1.926, 9.844], [1.926, -1.926, 9.844], [1.926, 1.926, -9.844]], "species": ["Mo", "Mo", "Mo", "Mo", "Au", "Au", "Se", "Se"], "fractional_positions": [[0.078, 0.625, 0.953], [0.375, 0.328, 0.453], [0.672, 0.125, 0.047], [0.875, 0.922, 0.547], [0.250, 0.750, 0.500], [0.500, 0.500, 0.000], [0.000, 0.000, 0.000], [0.750, 0.250, 0.500]]}



# 7
{"formula": "Mo2AuSe", "functional": "GGA-PBE", "state": "optimized geometry", "e_form_raw_mev_per_atom": 582, "lattice": [[1.656, -2.288, 0.000], [1.656, 2.288, 0.000], [0.000, 0.000, 8.883]], "species": ["Mo", "Mo", "Au", "Se"], "fractional_positions": [[0.000, 0.000, 0.239], [0.000, 0.000, 0.761], [0.500, 0.500, 0.500], [0.500, 0.500, 0.000]]}



# 8
{"formula": "MoAu2Se", "functional": "GGA-PBE", "state": "optimized geometry", "e_form_raw_mev_per_atom": 224, "lattice": [[-1.477, 2.244, 6.248], [1.477, -2.244, 6.248], [1.477, 2.244, -6.248]], "species": ["Mo", "Au", "Au", "Se"], "fractional_positions": [[0.000, 0.000, 0.000], [0.203, 0.703, 0.500], [0.563, 0.563, 0.000], [0.843, 0.343, 0.500]]}